Arrangement w

10
Lattice="-2.411 2.411 11.727 2.411 -2.411 11.727 2.411 2.411 -11.727" Properties=species:S:1:pos:R:3 comment="NdZn3In (PBE, relaxed)" dos_at_fermi_per_ev_cell=5.4 pbc="T T T"
Nd 0.000 0.000 0.000
Nd 0.000 2.411 5.863
Zn 2.411 0.000 2.102
Zn 0.000 1.195 2.848
Zn 2.411 0.000 9.625
Zn 0.000 3.628 2.848
Zn -1.217 2.411 8.879
Zn 1.217 2.411 8.879
In 0.000 0.000 8.014
In 0.000 0.000 15.439

=====

Arrangement x

20
Lattice="7.828 0.000 0.000 0.000 6.378 0.000 -1.632 0.000 8.482" Properties=species:S:1:pos:R:3 comment="NdZn3In (PBE, relaxed)" dos_at_fermi_per_ev_cell=9.6 pbc="T T T"
Nd 1.341 0.110 2.102
Nd 0.526 3.079 6.343
Nd 5.671 3.299 2.139
Nd 4.855 6.268 6.380
Zn -0.805 1.276 4.197
Zn -1.621 1.913 8.438
Zn 7.817 4.465 0.044
Zn 7.001 5.102 4.285
Zn 0.715 3.236 3.162
Zn -0.101 6.331 7.403
Zn 2.162 3.418 1.141
Zn 1.347 6.149 5.382
Zn 4.850 0.229 3.100
Zn 4.034 2.960 7.341
Zn 6.297 0.047 1.078
Zn 5.481 3.142 5.319
In 3.150 4.572 3.927
In 2.334 4.995 8.168
In 3.862 1.383 0.314
In 3.047 1.806 4.555

=====

Quick look at relative energies in meV per atom: arrangement w 333; arrangement x 0.

=====

Arrangement w

5
Lattice="-3.106 3.106 3.106 3.106 -3.106 3.106 3.106 3.106 -3.106" Properties=species:S:1:pos:R:3 comment="In4Ni (PBE, relaxed)" dos_at_fermi_per_ev_cell=3.3 pbc="T T T"
In 1.553 1.553 -1.553
In 1.553 -1.553 1.553
In -1.553 1.553 1.553
In 1.553 1.553 1.553
Ni 0.000 0.000 0.000

=====

Arrangement x

5
Lattice="-4.353 4.353 1.521 4.353 -4.353 1.521 4.353 4.353 -1.521" Properties=species:S:1:pos:R:3 comment="In4Ni (PBE, relaxed)" dos_at_fermi_per_ev_cell=1.8 pbc="T T T"
In 6.402 0.230 0.000
In 0.230 2.305 0.000
In 4.124 2.049 1.521
In -2.049 4.124 1.521
Ni 0.000 0.000 1.521

=====

Quick look at relative energies in meV per atom: arrangement w 0; arrangement x 13.